# 1
! Th2Al12Fe7 PBE relaxed; values from VASP
&SYSTEM
  ibrav = 0, nat = 21, ntyp = 3
/
ATOMIC_SPECIES
Th 232.04 Th.upf
Al 26.98 Al.upf
Fe 55.84 Fe.upf
ATOMIC_POSITIONS crystal
Th 0.500 0.000 0.000
Th 0.000 0.667 0.333
Al 0.500 0.927 0.604
Al 0.500 0.677 0.073
Al 0.500 0.396 0.323
Al 0.500 0.249 0.773
Al 0.500 0.523 0.751
Al 0.500 0.227 0.477
Al 0.000 0.045 0.502
Al 0.000 0.457 0.955
Al 0.000 0.498 0.543
Al 0.000 0.833 0.722
Al 0.000 0.889 0.167
Al 0.000 0.278 0.111
Fe 0.000 0.333 0.667
Fe 0.000 0.136 0.809
Fe 0.000 0.673 0.864
Fe 0.000 0.191 0.327
Fe 0.500 0.670 0.603
Fe 0.500 0.934 0.330
Fe 0.500 0.397 0.066
CELL_PARAMETERS angstrom
4.070 0.000 0.000
0.000 8.271 -4.775
0.000 0.000 9.551
! ΔH_f (0 K) = -0.282 eV per atom
! spin magnetization = 4.7 μB/f.u.
! space group = P-6 (174)
! calculated total energy = -5.948 eV per atom

# 2
! ThAl3Fe2 PBE relaxed; values from VASP
&SYSTEM
  ibrav = 0, nat = 12, ntyp = 3
/
ATOMIC_SPECIES
Th 232.04 Th.upf
Al 26.98 Al.upf
Fe 55.84 Fe.upf
ATOMIC_POSITIONS crystal
Th 0.250 0.349 0.349
Th 0.750 0.651 0.651
Al 0.750 0.462 0.082
Al 0.750 0.082 0.462
Al 0.250 0.538 0.918
Al 0.750 0.045 0.045
Al 0.250 0.955 0.955
Al 0.250 0.918 0.538
Fe 0.500 0.784 0.216
Fe 0.000 0.784 0.216
Fe 0.000 0.216 0.784
Fe 0.500 0.216 0.784
CELL_PARAMETERS angstrom
5.147 0.000 0.000
0.000 6.331 0.051
0.000 -1.222 6.212
! ΔH_f (0 K) = -0.356 eV per atom
! spin magnetization = 2.5 μB/f.u.
! space group = Cmcm (63)
! calculated total energy = -6.285 eV per atom